(1)
DFT (PBE) results for a geometry-optimized In4Sn2Hg2Pb3 structure.

The space group is P-3m1 (No. 164) and the conventional cell measures 5.3409, 5.3409 and 13.0874 Å, with angles of 90.00, 90.00 and 120.00 degrees. The distinct sites, in fractional coordinates, are In at (0.3333, 0.6667, 0.3763), In at (0.3333, 0.6667, 0.8991), Sn at (0.3333, 0.6667, 0.1358), Hg at (0.3333, 0.6667, 0.6342), Pb at (0.0000, 0.0000, 0.2383) and Pb at (0.0000, 0.0000, 0.5000).

Its formation energy is 0.02 eV/atom. The crystal system is trigonal.

=====

(2)
DFT (PBE) results for a geometry-optimized NiC structure.

The space group is P4/nmm (No. 129, origin choice 2) and the conventional cell measures 2.864, 2.864 and 3.991 Å, with angles of 90.00, 90.00 and 90.00 degrees. The distinct sites, in fractional coordinates, are Ni at (0.250, 0.250, 0.199) and C at (0.250, 0.250, 0.691).

Its formation energy is 1.00 eV/atom. The crystal system is tetragonal.

=====

(3)
DFT (PBE) results for a geometry-optimized NaLaPr structure.

The space group is P3m1 (No. 156) and the conventional cell measures 3.6884, 3.6884 and 9.4531 Å, with angles of 90.00, 90.00 and 120.00 degrees. The distinct sites, in fractional coordinates, are Na at (0.0000, 0.0000, 0.0000), La at (0.3333, 0.6667, 0.6512) and Pr at (0.6667, 0.3333, 0.3418).

Its formation energy is 0.10 eV/atom. The crystal system is trigonal. The value obtained for the excess energy over the best structure of this formula in the dataset is 2.9 kJ per mole of atoms.

=====

(4)
DFT (PBE) results for a geometry-optimized CdH structure.

The space group is P4_2/mnm (No. 136) and the conventional cell measures 6.071, 6.071 and 3.257 Å, with angles of 90.00, 90.00 and 90.00 degrees. The distinct sites, in fractional coordinates, are Cd at (0.228, 0.228, 0.000) and H at (0.122, 0.878, 0.000).

The crystal system is tetragonal. The value obtained for the excess energy over the best structure of this formula in the dataset is 36.1 kJ per mole of atoms.

=====

(5)
DFT (PBE) results for a geometry-optimized Y2CdHg6 structure.

The space group is C2/m (No. 12) and the conventional cell measures 11.788, 6.717 and 5.631 Å, with angles of 90.00, 90.60 and 90.00 degrees. The distinct sites, in fractional coordinates, are Y at (0.166, 0.000, 0.188), Cd at (0.000, 0.500, 0.000), Hg at (0.093, 0.223, 0.685) and Hg at (0.187, 0.500, 0.312).

Its formation energy is -0.20 eV/atom. The crystal system is monoclinic. The value obtained for the excess energy over the best structure of this formula in the dataset is 7.6 kJ per mole of atoms.

=====

(6)
DFT (PBE) results for a geometry-optimized Pm3Fe5N12 structure.

The space group is Ia-3d (No. 230) and the conventional cell measures 12.279, 12.279 and 12.279 Å, with angles of 90.00, 90.00 and 90.00 degrees. The distinct sites, in fractional coordinates, are Pm at (0.000, 0.250, 0.125), Fe at (0.000, 0.000, 0.000), Fe at (0.000, 0.250, 0.375) and N at (0.039, 0.046, 0.648).

The formation energy without anion corrections is -167.1 meV per atom. The crystal system is cubic.

=====

(7)
DFT (PBE) results for a geometry-optimized OsPtRh4 structure.

The space group is F-43m (No. 216) and the conventional cell measures 7.128, 7.128 and 7.128 Å, with angles of 90.00, 90.00 and 90.00 degrees. The distinct sites, in fractional coordinates, are Os at (0.000, 0.000, 0.000), Pt at (0.250, 0.250, 0.750) and Rh at (0.125, 0.125, 0.375).

Its formation energy is 0.54 eV/atom. The crystal system is cubic. The value obtained for the excess energy over the best structure of this formula in the dataset is 51.0 kJ per mole of atoms.

=====

(8)
DFT (PBE) results for a geometry-optimized Th2Al2Si4Os structure.

The space group is I4/mmm (No. 139) and the conventional cell measures 6.225, 6.225 and 8.551 Å, with angles of 90.00, 90.00 and 90.00 degrees. The distinct sites, in fractional coordinates, are Th at (0.000, 0.500, 0.250), Al at (0.000, 0.000, 0.205), Si at (0.221, 0.221, 0.000) and Os at (0.000, 0.000, 0.500).

The formation energy without anion corrections is -478.7 meV per atom. The crystal system is tetragonal.

=====

(9)
DFT (PBE) results for a geometry-optimized Mn3FeP structure.

The space group is Pm-3m (No. 221) and the conventional cell measures 4.308, 4.308 and 4.308 Å, with angles of 90.00, 90.00 and 90.00 degrees. The distinct sites, in fractional coordinates, are Mn at (0.000, 0.000, 0.500), Fe at (0.000, 0.000, 0.000) and P at (0.500, 0.500, 0.500).

Its formation energy is 1.00 eV/atom. The crystal system is cubic. The value obtained for the excess energy over the best structure of this formula in the dataset is 40.9 kJ per mole of atoms.

=====

(10)
DFT (PBE) results for a geometry-optimized Nd3Sm6Tm2Sc structure.

The space group is C2/m (No. 12) and the conventional cell measures 6.230, 10.793 and 11.847 Å, with angles of 90.00, 100.09 and 90.00 degrees. The distinct sites, in fractional coordinates, are Nd at (0.000, 0.000, 0.000), Nd at (0.000, 0.333, 0.000), Sm at (0.246, 0.335, 0.742), Sm at (0.250, 0.000, 0.742), Tm at (0.000, 0.167, 0.500) and Sc at (0.000, 0.500, 0.500).

Its formation energy is 0.03 eV/atom. The crystal system is monoclinic.

=====

(11)
DFT (PBE) results for a geometry-optimized K2Zn structure.

The space group is I4_1/amd (No. 141, origin choice 2) and the conventional cell measures 4.172, 4.172 and 33.118 Å, with angles of 90.00, 90.00 and 90.00 degrees. The distinct sites, in fractional coordinates, are K at (0.000, 0.250, 0.311) and Zn at (0.000, 0.250, 0.875).

Its formation energy is 0.15 eV/atom. The crystal system is tetragonal. The value obtained for the excess energy over the best structure of this formula in the dataset is 6.1 kJ per mole of atoms.

=====

(12)
DFT (PBE) results for a geometry-optimized AcPaN structure.

The space group is P3m1 (No. 156) and the conventional cell measures 3.7282, 3.7282 and 6.2938 Å, with angles of 90.00, 90.00 and 120.00 degrees. The distinct sites, in fractional coordinates, are Ac at (0.0000, 0.0000, 0.0000), Pa at (0.6667, 0.3333, 0.5280) and N at (0.3333, 0.6667, 0.6588).

The formation energy without anion corrections is -614.1 meV per atom. The crystal system is trigonal. The value obtained for the excess energy over the best structure of this formula in the dataset is 0.0 kJ per mole of atoms.

=====

(13)
DFT (PBE) results for a geometry-optimized Mn3PdN structure.

The space group is Pm-3m (No. 221) and the conventional cell measures 4.849, 4.849 and 4.849 Å, with angles of 90.00, 90.00 and 90.00 degrees. The distinct sites, in fractional coordinates, are Mn at (0.000, 0.000, 0.500), Pd at (0.000, 0.000, 0.000) and N at (0.500, 0.500, 0.500).

The formation energy without anion corrections is 1777.1 meV per atom. The crystal system is cubic.

=====

(14)
DFT (PBE) results for a geometry-optimized FeBW2 structure.

The space group is I-42d (No. 122) and the conventional cell measures 7.355, 7.355 and 4.043 Å, with angles of 90.00, 90.00 and 90.00 degrees. The distinct sites, in fractional coordinates, are Fe at (0.000, 0.000, 0.000), B at (0.000, 0.000, 0.500) and W at (0.135, 0.250, 0.625).

Its formation energy is 0.46 eV/atom. The crystal system is tetragonal.

=====

(15)
DFT (PBE) results for a geometry-optimized AcPmSmSc structure.

The space group is F-43m (No. 216) and the conventional cell measures 8.173, 8.173 and 8.173 Å, with angles of 90.00, 90.00 and 90.00 degrees. The distinct sites, in fractional coordinates, are Ac at (0.000, 0.000, 0.000), Pm at (0.250, 0.250, 0.250), Sm at (0.000, 0.000, 0.500) and Sc at (0.250, 0.250, 0.750).

Its formation energy is 0.14 eV/atom. The crystal system is cubic.

=====

(16)
DFT (PBE) results for a geometry-optimized NaCa4Y3S8 structure.

The space group is R-3m (No. 166, hexagonal axes) and the conventional cell measures 7.9598, 7.9598 and 19.5578 Å, with angles of 90.00, 90.00 and 120.00 degrees. The distinct sites, in fractional coordinates, are Na at (0.0000, 0.0000, 0.0000), Ca at (0.0000, 0.0000, 0.5000), Ca at (0.0000, 0.5000, 0.5000), Y at (0.0000, 0.5000, 0.0000), S at (0.0000, 0.0000, 0.2519) and S at (0.0060, 0.5030, 0.2516).

The formation energy without anion corrections is -2027.2 meV per atom. The crystal system is trigonal.

=====

(17)
DFT (PBE) results for a geometry-optimized Na3Ce3AlS8 structure.

The space group is R-3m (No. 166, hexagonal axes) and the conventional cell measures 8.0158, 8.0158 and 20.0799 Å, with angles of 90.00, 90.00 and 120.00 degrees. The distinct sites, in fractional coordinates, are Na at (0.0000, 0.5000, 0.0000), Ce at (0.0000, 0.5000, 0.5000), Al at (0.0000, 0.0000, 0.5000), S at (0.0000, 0.0000, 0.2446) and S at (0.0330, 0.5165, 0.2366).

The formation energy without anion corrections is -1565.6 meV per atom. The crystal system is trigonal.

=====

(18)
DFT (PBE) results for a geometry-optimized TaAlTl structure.

The space group is I4mm (No. 107) and the conventional cell measures 3.282, 3.282 and 10.978 Å, with angles of 90.00, 90.00 and 90.00 degrees. The distinct sites, in fractional coordinates, are Ta at (0.000, 0.000, 0.000), Al at (0.000, 0.000, 0.635) and Tl at (0.000, 0.000, 0.316).

Its formation energy is 0.44 eV/atom. The crystal system is tetragonal. The value obtained for the excess energy over the best structure of this formula in the dataset is 14.1 kJ per mole of atoms.

=====

(19)
DFT (PBE) results for a geometry-optimized Cs7Tl2Pt2 structure.

The space group is C2/m (No. 12) and the conventional cell measures 10.671, 17.079 and 8.195 Å, with angles of 90.00, 102.49 and 90.00 degrees. The distinct sites, in fractional coordinates, are Cs at (0.000, 0.000, 0.000), Cs at (0.158, 0.500, 0.195), Cs at (0.202, 0.194, 0.256), Tl at (0.000, 0.395, 0.500) and Pt at (0.163, 0.500, 0.706).

Its formation energy is -0.01 eV/atom. The crystal system is monoclinic.

=====

(20)
DFT (PBE) results for a geometry-optimized MgNbH3 structure.

The space group is Pm-3m (No. 221) and the conventional cell measures 3.561, 3.561 and 3.561 Å, with angles of 90.00, 90.00 and 90.00 degrees. The distinct sites, in fractional coordinates, are Mg at (0.000, 0.000, 0.000), Nb at (0.500, 0.500, 0.500) and H at (0.000, 0.000, 0.500).

The crystal system is cubic. The value obtained for the excess energy over the best structure of this formula in the dataset is 46.2 kJ per mole of atoms.

=====

N(E_F) values, unit states/eV/cell, following the record order: 2.063 0.923 3.452 1.573 11.293 74.063 35.989 12.075 3.972 32.512 6.238 3.704 4.075 13.227 31.680 12.191 40.178 5.910 10.684 2.873.
Total moment values, unit Bohr magnetons per cell, following the record order: 0.00 0.00 0.00 0.00 0.00 28.86 0.39 0.00 8.39 0.00 0.00 0.96 12.18 1.13 0.00 0.00 6.06 0.01 0.00 1.50.